Entry 1:
Ac3ZnBr3 PBE relaxed; formation energy from raw total energies = -1.186 eV/atom; E = -107.68 eV/cell
1.0
-0.926 8.446 -7.126
1.366 -9.455 -5.631
-9.196 -0.663 6.162
Ac Br Zn
12 12 4
direct
0.743 0.485 0.493
0.507 0.493 0.750
0.507 0.015 0.257
0.985 0.493 0.243
0.757 0.007 0.015
0.250 0.243 0.257
0.743 0.257 0.750
0.250 0.007 0.493
0.993 0.243 0.485
0.757 0.750 0.243
0.993 0.750 0.007
0.515 0.257 0.007
0.493 0.507 0.250
0.007 0.250 0.993
0.750 0.993 0.507
0.243 0.993 0.987
0.487 0.743 0.993
0.257 0.513 0.507
0.493 0.987 0.743
0.243 0.250 0.757
0.257 0.743 0.250
0.750 0.757 0.743
0.007 0.757 0.513
0.013 0.507 0.757
0.000 0.000 0.250
0.750 0.500 0.000
0.750 0.250 0.250
0.500 0.250 0.500

---

Entry 2:
NdY3Ho2Er6 PBE relaxed; E = -60.42 eV/cell; E_form = 0.023 eV/atom
1.0
-3.691 4.428 2.083
-2.169 -5.681 -0.771
4.933 -2.198 10.418
Ho Y Er Nd
2 3 6 1
direct
0.667 0.333 0.000
0.333 0.667 0.000
0.500 0.500 0.500
0.833 0.167 0.500
0.167 0.833 0.500
0.250 0.250 0.750
0.582 0.916 0.750
0.418 0.084 0.250
0.084 0.418 0.250
0.916 0.582 0.750
0.750 0.750 0.250
0.000 0.000 0.000

---

Entry 3:
Ca2LaSmHg4 PBE relaxed; E = -19.25 eV/cell; E_form = -0.549 eV/atom
1.0
5.398 0.000 0.000
2.699 4.675 0.000
2.699 1.558 8.813
Hg Ca La Sm
4 2 1 1
direct
0.377 0.377 0.868
0.623 0.623 0.132
0.874 0.874 0.379
0.126 0.126 0.621
0.249 0.249 0.253
0.751 0.751 0.747
0.000 0.000 0.000
0.500 0.500 0.500

---

Entry 4:
TiP3Au PBE relaxed; E = -22.11 eV/cell; E_form = 1.058 eV/atom
1.0
-4.378 0.390 1.807
0.800 -3.788 2.756
1.666 2.843 3.424
Ti Au P
1 1 3
direct
0.500 0.500 0.500
0.000 0.000 0.000
0.000 0.500 0.000
0.000 0.000 0.500
0.500 0.000 0.000

---

Entry 5:
NbTlZnSi2 PBE relaxed; formation energy from raw total energies = 1.750 eV/atom; E = -15.81 eV/cell
1.0
-3.386 -3.018 2.233
3.937 -3.775 0.869
1.051 2.125 4.465
Tl Nb Zn Si
1 1 1 2
direct
0.000 0.000 0.000
0.000 0.500 0.000
0.500 0.500 0.500
0.500 0.000 0.000
0.000 0.000 0.500

---

Entry 6:
KAg2As PBE relaxed; E = -10.58 eV/cell; E_form = 0.218 eV/atom
1.0
4.652 0.000 0.000
0.000 4.652 0.000
0.000 0.000 4.193
Ag K As
2 1 1
direct
0.000 0.000 0.000
0.500 0.500 0.000
0.000 0.500 0.500
0.500 0.000 0.500

---

Entry 7:
ErLu2Tc PBE relaxed; E = -23.09 eV/cell; E_form = 0.221 eV/atom
1.0
-1.209 2.248 -2.194
-2.248 -0.951 -2.318
-9.123 2.757 5.272
Tc Lu Er
1 2 1
direct
0.500 0.500 0.500
0.895 0.895 0.314
0.105 0.105 0.686
0.000 0.000 0.000

---

Entry 8:
YCr2Mo PBE relaxed; E = -34.19 eV/cell; E_form = 0.587 eV/atom
1.0
2.827 -0.005 0.000
-1.037 2.630 0.000
0.000 0.000 8.800
Cr Mo Y
2 1 1
direct
0.000 0.000 0.031
0.000 0.000 0.469
0.500 0.500 0.250
0.500 0.500 0.750

---

Entry 9:
Mg2AlIn PBE relaxed; E = -9.51 eV/cell; E_form = 0.040 eV/atom
1.0
3.802 0.000 0.000
0.000 3.802 0.000
0.000 0.000 6.094
In Mg Al
1 2 1
direct
0.500 0.500 0.745
0.500 0.500 0.260
0.000 0.000 0.999
0.000 0.000 0.495

---

Entry 10:
NaLaH2 PBE relaxed; E = -13.99 eV/cell
1.0
3.843 0.000 0.000
1.922 3.328 0.000
1.922 1.109 6.627
La H Na
1 2 1
direct
0.669 0.669 0.992
0.048 0.048 0.856
0.293 0.293 0.122
0.490 0.490 0.530

---

Entry 11:
CdH4 PBE relaxed; E = -28.33 eV/cell
1.0
-1.487 -0.817 2.355
5.287 -8.410 -0.999
2.538 3.317 2.755
H Cd
8 2
direct
0.976 0.898 0.378
0.810 0.626 0.573
0.978 0.975 0.474
0.433 0.900 0.876
0.308 0.627 0.078
0.846 0.700 0.567
0.511 0.974 0.977
0.356 0.699 0.062
0.640 0.300 0.757
0.141 0.301 0.258

---

Entry 12:
Be4PdAu4 PBE relaxed; E = -68.35 eV/cell; E_form = -0.108 eV/atom
1.0
4.363 0.000 0.000
0.000 7.542 0.000
0.000 0.000 7.542
Pd Au Be
2 8 8
direct
0.000 0.000 0.000
0.500 0.500 0.500
0.610 0.846 0.613
0.610 0.154 0.387
0.890 0.346 0.113
0.390 0.613 0.154
0.890 0.654 0.887
0.110 0.887 0.346
0.390 0.387 0.846
0.110 0.113 0.654
0.614 0.107 0.812
0.114 0.312 0.393
0.386 0.812 0.893
0.614 0.893 0.188
0.886 0.393 0.688
0.886 0.607 0.312
0.386 0.188 0.107
0.114 0.688 0.607

---

Entry 13:
KIn2Pt2 PBE relaxed; E = -20.56 eV/cell; E_form = -0.380 eV/atom
1.0
-3.145 1.492 3.110
2.182 -2.398 3.358
2.708 3.984 4.330
In K Pt
2 1 2
direct
0.750 0.250 0.500
0.250 0.750 0.500
0.000 0.000 0.000
0.382 0.382 0.236
0.618 0.618 0.764

---

Entry 14:
Rb3Sm3TiTe8 PBE relaxed; formation energy from raw total energies = -1.207 eV/atom; E = -68.20 eV/cell
1.0
-3.409 -2.785 7.715
8.788 0.913 -0.901
-5.308 8.656 0.781
Te Rb Sm Ti
8 3 3 1
direct
0.265 0.530 0.295
0.785 0.027 0.311
0.785 0.569 0.311
0.242 0.027 0.311
0.758 0.973 0.689
0.735 0.470 0.705
0.215 0.973 0.689
0.215 0.431 0.689
0.000 0.000 0.000
0.000 0.500 0.000
0.500 0.500 0.000
0.500 0.500 0.500
0.000 0.500 0.500
0.500 0.000 0.500
0.000 0.000 0.500

---

Entry 15:
PmHfTaIr2 PBE relaxed; E = -47.93 eV/cell; E_form = -0.731 eV/atom
1.0
4.479 0.000 0.000
0.000 4.479 0.000
-2.239 -2.239 5.370
Hf Pm Ta Ir
1 1 1 2
direct
0.750 0.250 0.500
0.000 0.000 0.000
0.250 0.750 0.500
0.622 0.622 0.244
0.378 0.378 0.756